Entry 1:
Compound: HfAl6Ga
Source: Alexandria
Functional: GGA-PBE
Structure: optimized geometry

Results
DFT formation energy (eV per atom): 0.10

a b c (Å): 5.426 5.426 5.427
angles (deg): 91.40 91.40 88.59
Sites, in units of the cell vectors:
1 Al 0.336 0.336 0.029
2 Al 0.663 0.029 0.336
3 Al 0.029 0.663 0.336
4 Al 0.664 0.664 0.971
5 Al 0.971 0.337 0.664
6 Al 0.337 0.971 0.664
7 Ga 0.000 0.000 0.000
8 Hf 0.500 0.500 0.500

---

Entry 2:
Compound: AcNdCu
Source: Alexandria
Functional: GGA-PBE
Structure: optimized geometry

Results
DFT formation energy (eV per atom): -0.04

a b c (Å): 3.755 3.755 6.980
angles (deg): 105.60 105.60 90.00
Sites, in units of the cell vectors:
1 Ac 0.310 0.310 0.620
2 Nd 0.035 0.035 0.070
3 Cu 0.655 0.655 0.310

---

Entry 3:
Compound: Ni2SbBr
Source: Alexandria
Functional: GGA-PBE
Structure: optimized geometry

Results
Uncorrected energy (eV for the cell shown): -16.0

a b c (Å): 5.206 5.206 5.206
angles (deg): 143.10 106.97 84.74
Sites, in units of the cell vectors:
1 Ni 0.992 0.992 0.000
2 Ni 0.508 0.508 0.000
3 Sb 0.750 0.250 0.500
4 Br 0.250 0.750 0.500

---

Entry 4:
Compound: HoLuCdIr
Source: Alexandria
Functional: GGA-PBE
Structure: optimized geometry

Results
DFT formation energy (eV per atom): -0.59

a b c (Å): 4.972 4.972 4.972
angles (deg): 60.00 60.00 60.00
Sites, in units of the cell vectors:
1 Ir 0.250 0.250 0.250
2 Cd 0.750 0.750 0.750
3 Ho 0.500 0.500 0.500
4 Lu 0.000 0.000 0.000

---

Entry 5:
Compound: SrHg3I
Source: Alexandria
Functional: GGA-PBE
Structure: optimized geometry

Results
Uncorrected energy (eV for the cell shown): -3.3

a b c (Å): 6.336 6.336 6.336
angles (deg): 90.00 90.00 90.00
Sites, in units of the cell vectors:
1 Hg 0.000 0.000 0.500
2 Hg 0.500 0.000 0.000
3 Hg 0.000 0.500 0.000
4 I 0.000 0.000 0.000
5 Sr 0.500 0.500 0.500

---

Entry 6:
Compound: LaZnAg2Hg
Source: Alexandria
Functional: GGA-PBE
Structure: optimized geometry

Results
DFT formation energy (eV per atom): 0.77

a b c (Å): 5.859 6.261 5.859
angles (deg): 90.00 90.00 90.00
Site moments in Bohr magnetons follow the coordinates.
Sites, in units of the cell vectors:
1 Ag 0.500 0.000 0.000  0.00
2 Ag 0.000 0.000 0.500  0.00
3 La 0.000 0.000 0.000  0.06
4 Hg 0.000 0.500 0.000  0.02
5 Zn 0.500 0.500 0.500  0.00

---

Entry 7:
Compound: Cs2Zr3S6
Source: Alexandria
Functional: GGA-PBE
Structure: optimized geometry

Results
Uncorrected energy (eV for the cell shown): -69.2

a b c (Å): 6.444 6.444 8.618
angles (deg): 82.84 75.57 60.00
Sites, in units of the cell vectors:
1 S 0.393 0.669 0.820
2 S 0.275 0.000 0.180
3 S 0.725 0.000 0.820
4 S 0.062 0.331 0.820
5 S 0.607 0.331 0.180
6 S 0.938 0.669 0.180
7 Zr 0.333 0.333 0.000
8 Zr 0.000 0.000 0.000
9 Zr 0.667 0.667 0.000
10 Cs 0.833 0.333 0.500
11 Cs 0.167 0.667 0.500

---

Entry 8:
Compound: VZn4Os
Source: Alexandria
Functional: GGA-PBE
Structure: optimized geometry

Results
DFT formation energy (eV per atom): 0.09

a b c (Å): 4.876 4.876 4.876
angles (deg): 60.00 60.00 60.00
Site moments in Bohr magnetons follow the coordinates.
Sites, in units of the cell vectors:
1 Zn 0.625 0.625 0.125  -0.01
2 Zn 0.125 0.625 0.625  -0.01
3 Zn 0.625 0.125 0.625  -0.01
4 Zn 0.625 0.625 0.625  -0.01
5 V 0.250 0.250 0.250  1.34
6 Os 0.000 0.000 0.000  -0.39

---

Number 1: Fermi-level density of states 0.65 states/eV per atom, total magnetic moment 0.000 μB/atom. Number 2: Fermi-level density of states 1.16 states/eV per atom, total magnetic moment 0.000 μB/atom. Number 3: Fermi-level density of states 0.38 states/eV per atom, total magnetic moment 0.000 μB/atom. Number 4: Fermi-level density of states 0.57 states/eV per atom, total magnetic moment 0.000 μB/atom. Number 5: Fermi-level density of states 0.83 states/eV per atom, total magnetic moment 0.000 μB/atom. Number 6: Fermi-level density of states 0.68 states/eV per atom, total magnetic moment 0.032 μB/atom. Number 7: Fermi-level density of states 0.57 states/eV per atom, total magnetic moment 0.000 μB/atom. Number 8: Fermi-level density of states 0.37 states/eV per atom, total magnetic moment 0.164 μB/atom.